[1]
Material: Pr2Sm15Dy2
Method: DFT, PBE
State: optimized geometry

For the total magnetization, the calculation gives 0.0 Bohr magnetons per cell. Its crystal system is trigonal. The mass density is 7.2 g cm⁻³. Its density of states at the Fermi level is 1.552 states/eV/atom. The value obtained for the formation enthalpy at 0 K is 5.29 eV per formula unit.

The structure belongs to space group R-3m (No. 166, hexagonal axes); the cell edges are 11.1949, 11.1949 and 18.2653 Å and the angles 90.00°, 90.00° and 120.00°. The asymmetric unit holds Pr at (0.0000, 0.0000, 0.0911), Sm at (0.0000, 0.3001, 0.0000), Sm at (0.0000, 0.5000, 0.5000), Sm at (0.0247, 0.5123, 0.1313) and Dy at (0.0000, 0.0000, 0.3160).


[2]
Material: B3PC
Method: DFT, PBE
State: optimized geometry

For the total magnetization, the calculation gives 0.0 Bohr magnetons per cell. Its crystal system is triclinic. The mass density is 2.6 g cm⁻³. The value obtained for the distance to the lowest polymorph of the same formula is 21 meV/atom. Its density of states at the Fermi level is 0.197 states/eV/atom. The value obtained for the formation enthalpy at 0 K is 1.34 eV per formula unit.

The structure belongs to space group P1 (No. 1); the cell edges are 2.920, 3.181 and 5.982 Å and the angles 86.85°, 76.05° and 63.05°. The asymmetric unit holds B at (0.000, 0.000, 0.000), B at (0.128, 0.035, 0.712), B at (0.652, 0.442, 0.251), P at (0.519, 0.378, 0.587) and C at (0.107, 0.623, 0.166).


[3]
Material: LaTc3P
Method: DFT, PBE
State: optimized geometry

For the total magnetization, the calculation gives 1.9 Bohr magnetons per cell. Its crystal system is cubic. The mass density is 7.1 g cm⁻³. The value obtained for the distance to the lowest polymorph of the same formula is 2348 meV/atom. Its density of states at the Fermi level is 1.682 states/eV/atom. The value obtained for the formation enthalpy at 0 K is 11.97 eV per formula unit.

The structure belongs to space group Pm-3m (No. 221); the cell edges are 4.779, 4.779 and 4.779 Å and the angles 90.00°, 90.00° and 90.00°. The asymmetric unit holds La at (0.000, 0.000, 0.000), Tc at (0.000, 0.000, 0.500) and P at (0.500, 0.500, 0.500).


[4]
Material: LiPr4Sn2
Method: DFT, PBE
State: optimized geometry

For the total magnetization, the calculation gives 0.0 Bohr magnetons per cell. Its crystal system is trigonal. The mass density is 5.8 g cm⁻³. Its density of states at the Fermi level is 0.885 states/eV/atom. The value obtained for the formation enthalpy at 0 K is -2.34 eV per formula unit.

The structure belongs to space group R-3m (No. 166, hexagonal axes); the cell edges are 5.4034, 5.4034 and 27.2282 Å and the angles 90.00°, 90.00° and 120.00°. The asymmetric unit holds Li at (0.0000, 0.0000, 0.0000), Pr at (0.0000, 0.0000, 0.2139), Pr at (0.0000, 0.0000, 0.3734) and Sn at (0.0000, 0.0000, 0.0940).


[5]
Material: Tb2HoInC
Method: DFT, PBE
State: optimized geometry

For the total magnetization, the calculation gives 0.0 Bohr magnetons per cell. Its crystal system is tetragonal. The mass density is 8.4 g cm⁻³. Its density of states at the Fermi level is 0.329 states/eV/atom. The value obtained for the formation enthalpy at 0 K is -2.46 eV per formula unit.

The structure belongs to space group P4/mmm (No. 123); the cell edges are 4.954, 4.954 and 4.896 Å and the angles 90.00°, 90.00° and 90.00°. The asymmetric unit holds Tb at (0.000, 0.500, 0.000), Ho at (0.000, 0.000, 0.500), In at (0.500, 0.500, 0.500) and C at (0.000, 0.000, 0.000).


[6]
Material: TlAg2Pb
Method: DFT, PBE
State: optimized geometry

For the total magnetization, the calculation gives 0.0 Bohr magnetons per cell. Its crystal system is trigonal. The mass density is 10.6 g cm⁻³. The value obtained for the distance to the lowest polymorph of the same formula is 50 meV/atom. Its density of states at the Fermi level is 0.428 states/eV/atom. The value obtained for the formation enthalpy at 0 K is 0.53 eV per formula unit.

The structure belongs to space group R3m (No. 160, hexagonal axes); the cell edges are 3.4091, 3.4091 and 29.2845 Å and the angles 90.00°, 90.00° and 120.00°. The asymmetric unit holds Tl at (0.0000, 0.0000, 0.0000), Ag at (0.0000, 0.0000, 0.4829), Ag at (0.0000, 0.0000, 0.7469) and Pb at (0.0000, 0.0000, 0.2309).


Q: The lowest density of states at the Fermi level belongs to which entry?
A: B3PC


Q: What is the mass density in the sixth record?
A: 10.6 g cm⁻³


Q: Look up the density of states at the Fermi level of the third one.
A: 1.682 states/eV/atom